VASP calculation (PBEsol) on an optimized crystal structure of SnSbP3.

Its total energy is -20.892 eV per cell.

The space group is Pm-3m (No. 221) and the conventional cell measures 4.923, 4.923 and 4.923 Å, with angles of 90.00, 90.00 and 90.00 degrees. The distinct sites, in fractional coordinates, are Sn at (0.000, 0.000, 0.000), Sb at (0.500, 0.500, 0.500) and P at (0.000, 0.000, 0.500).